Entry from OQMD: an optimized crystal structure of NaDyTeO (PBE).

Unit cell a=7.3605 b=7.5528 c=6.6293 alpha=90.00 beta=99.35 gamma=90.00
Fractional coordinates of all 16 atoms:
Na 0.1095 0.2060 0.4717
Na 0.1095 0.2940 0.9717
Na 0.8905 0.7060 0.0283
Na 0.8905 0.7940 0.5283
Dy 0.4692 0.6245 0.7833
Dy 0.4692 0.8755 0.2833
Dy 0.5308 0.1245 0.7167
Dy 0.5308 0.3755 0.2167
Te 0.1998 0.5773 0.3522
Te 0.1998 0.9227 0.8522
Te 0.8002 0.0773 0.1478
Te 0.8002 0.4227 0.6478
O 0.4120 0.1507 0.3930
O 0.4120 0.3493 0.8930
O 0.5880 0.6507 0.1070
O 0.5880 0.8493 0.6070

As for the space-group type: P2_1/c, No. 14. For the offset from the most stable computed form, the calculation gives 0.000 eV per atom. The calculation puts the final energy at -0.2042 hartree per atom.